No. 1
An optimized crystal structure of RbHfP3. Source: the Alexandria database, functional PBE-GGA.

Values from the calculation:
Total magnetic moment (μB/cell): 0.00
Relative energy among the computed polymorphs (eV/atom): 2.159

Structure (extended XYZ):
```
5
Lattice="4.998 0.000 0.000 0.000 4.998 0.000 0.000 0.000 4.998" Properties=species:S:1:pos:R:3 pbc="T T T"
Rb 0.000 0.000 0.000
Hf 2.499 2.499 2.499
P 0.000 0.000 2.499
P 0.000 2.499 0.000
P 2.499 0.000 0.000
```

***

No. 2
An optimized crystal structure of Cu2Ni2H. Source: the Alexandria database, functional PBE-GGA.

Values from the calculation:
Total magnetic moment (μB/cell): 0.00
Relative energy among the computed polymorphs (eV/atom): 0.110

Structure (extended XYZ):
```
10
Lattice="4.825 0.000 0.000 0.000 4.825 0.000 0.000 0.000 4.320" Properties=species:S:1:pos:R:3 pbc="T T T"
Cu 0.824 1.588 0.000
Cu 1.588 4.001 0.000
Cu 3.237 0.824 0.000
Cu 4.001 3.237 0.000
Ni 0.838 3.250 2.160
Ni 1.575 0.838 2.160
Ni 3.250 3.988 2.160
Ni 3.988 1.575 2.160
H 0.000 0.000 2.160
H 2.413 2.413 2.160
```

***

No. 3
An optimized crystal structure of CeMgInGe. Source: the Alexandria database, functional PBE-GGA.

Values from the calculation:
Total magnetic moment (μB/cell): 0.49
Relative energy among the computed polymorphs (eV/atom): 0.094

Structure (extended XYZ):
```
4
Lattice="0.000 3.611 3.611 3.611 0.000 3.611 3.611 3.611 0.000" Properties=species:S:1:pos:R:3 pbc="T T T"
Ce 0.000 0.000 0.000
Mg 3.611 3.611 3.611
In 1.806 1.806 1.806
Ge 5.417 5.417 5.417
```

***

No. 4
An optimized crystal structure of La3Dy2Mg3. Source: the Alexandria database, functional PBE-GGA.

Values from the calculation:
E (eV per atom): -3.669
Total magnetic moment (μB/cell): 0.00

Structure (extended XYZ):
```
8
Lattice="-1.921 2.827 11.489 1.921 -2.827 11.489 1.921 2.827 -11.489" Properties=species:S:1:pos:R:3 pbc="T T T"
La 0.000 0.000 0.000
La 1.921 0.000 8.588
La 0.000 2.827 2.901
Dy 0.000 0.000 5.423
Dy 0.000 0.000 17.555
Mg 1.921 0.000 2.785
Mg 0.000 0.000 11.489
Mg 0.000 2.827 8.703
```

***

No. 5
An optimized crystal structure of Li4Pd2Pb. Source: the Alexandria database, functional PBE-GGA.

Values from the calculation:
Total magnetic moment (μB/cell): 0.00
Relative energy among the computed polymorphs (eV/atom): 0.037

Structure (extended XYZ):
```
14
Lattice="5.067 0.000 0.000 0.149 6.960 0.000 2.400 0.526 6.647" Properties=species:S:1:pos:R:3 pbc="T T T"
Li 0.000 0.000 0.000
Li 1.146 1.596 2.439
Li 2.377 2.553 4.855
Li 2.451 4.519 2.709
Li 3.874 5.429 5.534
Li 3.722 1.627 2.477
Li 5.037 6.079 2.893
Li 6.273 5.369 5.338
Pd 2.579 6.919 3.867
Pd 2.750 6.552 1.023
Pd 4.972 0.742 4.800
Pd 4.952 3.518 3.861
Pb 4.875 2.816 6.596
Pb 4.959 4.020 1.120
```

***

No. 6
An optimized crystal structure of LiEuPb2. Source: the Alexandria database, functional PBE-GGA.

Values from the calculation:
Total magnetic moment (μB/cell): 6.95
Relative energy among the computed polymorphs (eV/atom): 0.019

Structure (extended XYZ):
```
4
Lattice="0.000 3.830 3.830 3.830 0.000 3.830 3.830 3.830 0.000" Properties=species:S:1:pos:R:3 pbc="T T T"
Li 0.000 0.000 0.000
Eu 3.830 3.830 3.830
Pb 1.915 1.915 1.915
Pb 5.745 5.745 5.745
```